[1]
Below is crystalline Pu7Ru2Pb at its relaxed geometry, with properties calculated at the PBE-GGA level.

```
Pu7Ru2Pb
1.0
-1.226 2.699 3.656
-1.943 -3.734 2.105
11.478 -1.796 2.146
Pu Ru Pb
7 2 1
direct
0.103 0.603 0.206 Pu
0.397 0.897 0.794 Pu
0.603 0.103 0.206 Pu
0.500 0.500 0.000 Pu
0.750 0.250 0.500 Pu
0.897 0.397 0.794 Pu
0.250 0.750 0.500 Pu
0.667 0.667 0.334 Ru
0.333 0.333 0.666 Ru
0.000 0.000 0.000 Pb
```

## Properties
energy of formation from the pure elements = 104 meV/atom

[2]
Below is crystalline SrO at its relaxed geometry, with properties calculated at the PBE-GGA level.

```
SrO
1.0
4.301 0.000 0.000
-2.151 3.725 0.000
0.000 0.000 5.190
Sr O
2 2
direct
0.333 0.667 0.750 Sr
0.667 0.333 0.250 Sr
0.333 0.667 0.250 O
0.667 0.333 0.750 O
```

## Properties
formation energy from raw total energies = -2.682 eV per atom

[3]
Below is crystalline TaTi2Re2Mo6 at its relaxed geometry, with properties calculated at the PBE-GGA level.

```
TaTi2Re2Mo6
1.0
-1.701 -2.694 3.988
1.556 -4.814 0.678
8.440 1.093 7.605
Ta Ti Re Mo
1 2 2 6
direct
0.000 0.000 0.000 Ta
0.790 0.790 0.630 Ti
0.210 0.210 0.370 Ti
0.465 0.465 0.605 Re
0.535 0.535 0.395 Re
0.769 0.769 0.208 Mo
0.254 0.769 0.208 Mo
0.769 0.254 0.208 Mo
0.231 0.746 0.792 Mo
0.746 0.231 0.792 Mo
0.231 0.231 0.792 Mo
```

## Properties
energy of formation from the pure elements = 1380 meV/atom

[4]
Below is crystalline LiNdTmAu at its relaxed geometry, with properties calculated at the PBE-GGA level.

```
LiNdTmAu
1.0
-2.869 -1.838 -3.877
2.135 -0.821 -4.626
0.727 -4.823 -1.687
Nd Tm Au Li
1 1 1 1
direct
0.000 0.000 0.000 Nd
0.500 0.500 0.500 Tm
0.250 0.250 0.250 Au
0.750 0.750 0.750 Li
```

## Properties
energy of formation from the pure elements = -373 meV/atom

| no. | volume (Å³/cell) | M_tot (μB per cell) |
| --- | --- | --- |
| 1 | 251.1 | 5.39 |
| 2 | 83.2 | 0.00 |
| 3 | 248.8 | 0.00 |
| 4 | 97.2 | 0.00 |